one | Here is a relaxed NdDyCdAg crystal from Alexandria via LeMat-Bulk. Energies are from GGA-PBE.

Computed properties:
- M_tot (μB per cell) = 0.2

Unit cell a=3.728 b=3.728 c=7.568 alpha=90.00 beta=90.00 gamma=90.00
Each line ends with the local moment (μB).
Fractional coordinates of all 4 atoms:
Nd  0.500  0.500  0.112  0.11
Dy  0.500  0.500  0.597  0.01
Cd  0.000  0.000  0.843  0.00
Ag  0.000  0.000  0.376  0.01

***

two | Here is a relaxed NdDyCdAg crystal from Alexandria via LeMat-Bulk. Energies are from GGA-PBE.

Computed properties:
- M_tot (μB per cell) = 0.0

Unit cell a=5.303 b=5.303 c=5.303 alpha=60.00 beta=60.00 gamma=60.00
Fractional coordinates of all 4 atoms:
Cd  0.750  0.750  0.750
Nd  0.000  0.000  0.000
Ag  0.250  0.250  0.250
Dy  0.500  0.500  0.500

***

Most stable one: one, least stable one: two.

***

one | Here is a relaxed TbDyCdAg crystal from Alexandria via LeMat-Bulk. Energies are from GGA-PBE.

Computed properties:
- M_tot (μB per cell) = 0.0

Unit cell a=3.688 b=3.688 c=7.422 alpha=90.00 beta=90.00 gamma=90.00
Fractional coordinates of all 4 atoms:
Tb  0.500  0.500  0.599
Dy  0.500  0.500  0.116
Cd  0.000  0.000  0.859
Ag  0.000  0.000  0.355

***

two | Here is a relaxed TbDyCdAg crystal from Alexandria via LeMat-Bulk. Energies are from GGA-PBE.

Computed properties:
- M_tot (μB per cell) = 0.0

Unit cell a=5.228 b=5.228 c=5.228 alpha=60.00 beta=60.00 gamma=60.00
Fractional coordinates of all 4 atoms:
Cd  0.750  0.750  0.750
Tb  0.500  0.500  0.500
Ag  0.250  0.250  0.250
Dy  0.000  0.000  0.000

***

Most stable one: one, least stable one: two.

***

one | Here is a relaxed DyYCdAg crystal from Alexandria via LeMat-Bulk. Energies are from GGA-PBE.

Computed properties:
- M_tot (μB per cell) = 0.0

Unit cell a=5.225 b=5.225 c=5.225 alpha=60.00 beta=60.00 gamma=60.00
Fractional coordinates of all 4 atoms:
Y  0.750  0.750  0.750
Cd  0.000  0.000  0.000
Ag  0.500  0.500  0.500
Dy  0.250  0.250  0.250

***

two | Here is a relaxed DyYCdAg crystal from Alexandria via LeMat-Bulk. Energies are from GGA-PBE.

Computed properties:
- M_tot (μB per cell) = 0.0

Unit cell a=3.690 b=3.690 c=7.395 alpha=90.00 beta=90.00 gamma=90.00
Fractional coordinates of all 4 atoms:
Dy  0.500  0.500  0.116
Y  0.500  0.500  0.600
Cd  0.000  0.000  0.859
Ag  0.000  0.000  0.354

***

Most stable one: two, least stable one: one.